(1)
KBSe2: relaxed, GGA-PBE.

Summary:
SG	R-3m
uncorrected energy	-13.47	eV/cell
ΔE_f (raw)	30.72	kJ per mole of atoms

```
data_KBSe2
_cell_length_a 8.987
_cell_length_b 8.987
_cell_length_c 8.987
_cell_angle_alpha 22.00
_cell_angle_beta 22.00
_cell_angle_gamma 22.00
_symmetry_space_group_name_H-M 'P 1'
_symmetry_Int_Tables_number 1
loop_
_symmetry_equiv_pos_as_xyz
'x,y,z'
loop_
_atom_site_label
_atom_site_type_symbol
_atom_site_fract_x
_atom_site_fract_y
_atom_site_fract_z
_atom_site_occupancy
K1 K 0.000 0.000 0.000 1
B1 B 0.500 0.500 0.500 1
Se1 Se 0.118 0.118 0.118 1
Se2 Se 0.882 0.882 0.882 1
```

(2)
K8B3Se8: relaxed, GGA-PBE.

Summary:
SG	C2/m
uncorrected energy	-71.04	eV/cell
ΔE_f (raw)	-72.89	kJ per mole of atoms

```
data_K8B3Se8
_cell_length_a 12.409
_cell_length_b 12.409
_cell_length_c 9.240
_cell_angle_alpha 108.05
_cell_angle_beta 108.05
_cell_angle_gamma 30.78
_symmetry_space_group_name_H-M 'P 1'
_symmetry_Int_Tables_number 1
loop_
_symmetry_equiv_pos_as_xyz
'x,y,z'
loop_
_atom_site_label
_atom_site_type_symbol
_atom_site_fract_x
_atom_site_fract_y
_atom_site_fract_z
_atom_site_occupancy
K1 K 0.032 0.032 0.241 1
K2 K 0.204 0.204 0.798 1
K3 K 0.323 0.323 0.541 1
K4 K 0.388 0.388 0.083 1
K5 K 0.612 0.612 0.917 1
K6 K 0.677 0.677 0.459 1
K7 K 0.796 0.796 0.202 1
K8 K 0.968 0.968 0.759 1
B1 B 0.184 0.184 0.195 1
B2 B 0.500 0.500 0.500 1
B3 B 0.816 0.816 0.805 1
Se1 Se 0.113 0.113 0.008 1
Se2 Se 0.175 0.175 0.400 1
Se3 Se 0.264 0.264 0.174 1
Se4 Se 0.475 0.475 0.672 1
Se5 Se 0.525 0.525 0.328 1
Se6 Se 0.736 0.736 0.826 1
Se7 Se 0.825 0.825 0.600 1
Se8 Se 0.887 0.887 0.992 1
```

(3)
K2BSe: relaxed, GGA-PBE.

Summary:
SG	Fm-3m
uncorrected energy	-10.40	eV/cell
ΔE_f (raw)	47.29	kJ per mole of atoms

```
data_K2BSe
_cell_length_a 5.444
_cell_length_b 5.444
_cell_length_c 5.444
_cell_angle_alpha 60.00
_cell_angle_beta 60.00
_cell_angle_gamma 60.00
_symmetry_space_group_name_H-M 'P 1'
_symmetry_Int_Tables_number 1
loop_
_symmetry_equiv_pos_as_xyz
'x,y,z'
loop_
_atom_site_label
_atom_site_type_symbol
_atom_site_fract_x
_atom_site_fract_y
_atom_site_fract_z
_atom_site_occupancy
K1 K 0.250 0.250 0.250 1
K2 K 0.750 0.750 0.750 1
B1 B 0.000 0.000 0.000 1
Se1 Se 0.500 0.500 0.500 1
```

(4)
K2SiBSe4: relaxed, GGA-PBE.

Summary:
SG	Fddd
uncorrected energy	-65.77	eV/cell
ΔE_f (raw)	-56.10	kJ per mole of atoms

```
data_K2SiBSe4
_cell_length_a 13.439
_cell_length_b 11.895
_cell_length_c 7.512
_cell_angle_alpha 84.44
_cell_angle_beta 61.76
_cell_angle_gamma 33.80
_symmetry_space_group_name_H-M 'P 1'
_symmetry_Int_Tables_number 1
loop_
_symmetry_equiv_pos_as_xyz
'x,y,z'
loop_
_atom_site_label
_atom_site_type_symbol
_atom_site_fract_x
_atom_site_fract_y
_atom_site_fract_z
_atom_site_occupancy
K1 K 0.057 0.057 0.693 1
K2 K 0.307 0.307 0.943 1
K3 K 0.693 0.693 0.057 1
K4 K 0.943 0.943 0.307 1
Si1 Si 0.375 0.375 0.375 1
Si2 Si 0.625 0.625 0.625 1
B1 B 0.125 0.125 0.125 1
B2 B 0.875 0.875 0.875 1
Se1 Se 0.055 0.299 0.370 1
Se2 Se 0.224 0.630 0.701 1
Se3 Se 0.299 0.055 0.776 1
Se4 Se 0.370 0.776 0.055 1
Se5 Se 0.630 0.224 0.945 1
Se6 Se 0.701 0.945 0.224 1
Se7 Se 0.776 0.370 0.299 1
Se8 Se 0.945 0.701 0.630 1
```